Below is a relaxed LuThFeCu crystal, with properties calculated at the PBE-GGA level.

The space group is F-43m (No. 216) and the conventional cell measures 6.8807, 6.8807 and 6.8807 Å, with angles of 90.00, 90.00 and 90.00 degrees. Symmetry generates all atoms from Lu at (0.0000, 0.0000, 0.0000), Th at (0.0000, 0.0000, 0.5000), Fe at (0.2500, 0.2500, 0.7500) and Cu at (0.2500, 0.2500, 0.2500).

Its density of states at the Fermi level is 0.75 states/eV per atom. The value obtained for the formation energy is -59 meV/atom.